No. 1
# Rb4Pm3NdSe8, relaxed, DFT PBE-GGA
# **Uncorrected energy**: -0.36096 Ry per atom
# **Crystal system**: trigonal
# **Total magnetic moment**: 0.00 Bohr magnetons per cell
data_Rb4Pm3NdSe8
_space_group_name_H-M_alt 'R -3 m'
_space_group_IT_number 166
_space_group_name_Hall '-R 3 2"'
_cell_length_a 8.7129
_cell_length_b 8.7129
_cell_length_c 24.0674
_cell_angle_alpha 90.00
_cell_angle_beta 90.00
_cell_angle_gamma 120.00
loop_
_atom_site_label
_atom_site_type_symbol
_atom_site_fract_x
_atom_site_fract_y
_atom_site_fract_z
Rb1 Rb 0.0000 0.0000 0.0000
Rb2 Rb 0.0000 0.5000 0.0000
Pm1 Pm 0.0000 0.5000 0.5000
Nd1 Nd 0.0000 0.0000 0.5000
Se1 Se 0.0000 0.0000 0.2332
Se2 Se 0.0016 0.5008 0.7666

No. 2
# AgPd2Ru2, relaxed, DFT PBE-GGA
# **Crystal system**: tetragonal
# **Formation energy from the elements**: 0.44 eV/atom
# **Total magnetic moment**: 2.35 Bohr magnetons per cell
data_AgPd2Ru2
_space_group_name_H-M_alt 'P 4/m b m'
_space_group_IT_number 127
_space_group_name_Hall '-P 4 2ab'
_cell_length_a 7.7045
_cell_length_b 7.7045
_cell_length_c 2.7483
_cell_angle_alpha 90.00
_cell_angle_beta 90.00
_cell_angle_gamma 90.00
loop_
_atom_site_label
_atom_site_type_symbol
_atom_site_fract_x
_atom_site_fract_y
_atom_site_fract_z
Ag1 Ag 0.0000 0.0000 0.0000
Pd1 Pd 0.1849 0.3151 0.5000
Ru1 Ru 0.1102 0.6102 0.0000

No. 3
# CdMoSe2Br, relaxed, DFT PBE-GGA
# **Crystal system**: tetragonal
# **ΔE to the lowest computed polymorph**: 0.020 eV per atom
# **Total magnetic moment**: 0.83 Bohr magnetons per cell
data_CdMoSe2Br
_space_group_name_H-M_alt 'P 4/m m m'
_space_group_IT_number 123
_space_group_name_Hall '-P 4 2'
_cell_length_a 4.9237
_cell_length_b 4.9237
_cell_length_c 5.3719
_cell_angle_alpha 90.00
_cell_angle_beta 90.00
_cell_angle_gamma 90.00
loop_
_atom_site_label
_atom_site_type_symbol
_atom_site_fract_x
_atom_site_fract_y
_atom_site_fract_z
Cd1 Cd 0.0000 0.0000 0.0000
Mo1 Mo 0.5000 0.5000 0.5000
Se1 Se 0.0000 0.5000 0.5000
Br1 Br 0.5000 0.5000 0.0000

No. 4
# Tl2InAuCl6, relaxed, DFT PBE-GGA
# **Uncorrected energy**: -0.22655 Ry per atom
# **Crystal system**: triclinic
# **Total magnetic moment**: 0.00 Bohr magnetons per cell
data_Tl2InAuCl6
_space_group_name_H-M_alt 'P 1'
_space_group_IT_number 1
_cell_length_a 7.5026
_cell_length_b 7.5284
_cell_length_c 7.6191
_cell_angle_alpha 118.06
_cell_angle_beta 92.01
_cell_angle_gamma 118.72
loop_
_space_group_symop_operation_xyz
'x,y,z'
loop_
_atom_site_label
_atom_site_type_symbol
_atom_site_fract_x
_atom_site_fract_y
_atom_site_fract_z
Tl1 Tl 0.0000 0.0000 0.0000
Tl2 Tl 0.4323 0.0604 0.4913
In1 In 0.1633 0.4770 0.7466
Au1 Au 0.8950 0.7102 0.2498
Cl1 Cl 0.3397 0.4315 0.4732
Cl2 Cl 0.3594 0.3779 0.9167
Cl3 Cl 0.3913 0.9236 0.0132
Cl4 Cl 0.8433 0.9822 0.5117
Cl5 Cl 0.8924 0.5011 0.5765
Cl6 Cl 0.9071 0.3984 0.9887

No. 5
# ErMg6Ag2, relaxed, DFT PBE-GGA
# **Crystal system**: tetragonal
# **Formation energy from the elements**: -0.09 eV/atom
# **Total magnetic moment**: 0.00 Bohr magnetons per cell
data_ErMg6Ag2
_space_group_name_H-M_alt 'P 4/m m m'
_space_group_IT_number 123
_space_group_name_Hall '-P 4 2'
_cell_length_a 4.2584
_cell_length_b 4.2584
_cell_length_c 11.1293
_cell_angle_alpha 90.00
_cell_angle_beta 90.00
_cell_angle_gamma 90.00
loop_
_atom_site_label
_atom_site_type_symbol
_atom_site_fract_x
_atom_site_fract_y
_atom_site_fract_z
Er1 Er 0.0000 0.0000 0.0000
Mg1 Mg 0.0000 0.0000 0.5000
Mg2 Mg 0.0000 0.5000 0.2814
Mg3 Mg 0.5000 0.5000 0.5000
Ag1 Ag 0.5000 0.5000 0.1207

No. 6
# BeAlSb2, relaxed, DFT PBE-GGA
# **Crystal system**: orthorhombic
# **ΔE to the lowest computed polymorph**: 0.326 eV per atom
# **Total magnetic moment**: 0.00 Bohr magnetons per cell
data_BeAlSb2
_space_group_name_H-M_alt 'I m m m'
_space_group_IT_number 71
_space_group_name_Hall '-I 2 2'
_cell_length_a 3.8090
_cell_length_b 5.6560
_cell_length_c 7.9673
_cell_angle_alpha 90.00
_cell_angle_beta 90.00
_cell_angle_gamma 90.00
loop_
_atom_site_label
_atom_site_type_symbol
_atom_site_fract_x
_atom_site_fract_y
_atom_site_fract_z
Be1 Be 0.0000 0.0000 0.0000
Al1 Al 0.0000 0.0000 0.5000
Sb1 Sb 0.0000 0.5000 0.2874

No. 7
# SnGeN3, relaxed, DFT PBE-GGA
# **Uncorrected energy**: -0.37107 Ry per atom
# **Crystal system**: cubic
# **Total magnetic moment**: 3.00 Bohr magnetons per cell
data_SnGeN3
_space_group_name_H-M_alt 'P m -3 m'
_space_group_IT_number 221
_space_group_name_Hall '-P 4 2 3'
_cell_length_a 4.1673
_cell_length_b 4.1673
_cell_length_c 4.1673
_cell_angle_alpha 90.00
_cell_angle_beta 90.00
_cell_angle_gamma 90.00
loop_
_atom_site_label
_atom_site_type_symbol
_atom_site_fract_x
_atom_site_fract_y
_atom_site_fract_z
Sn1 Sn 0.0000 0.0000 0.0000
Ge1 Ge 0.5000 0.5000 0.5000
N1 N 0.0000 0.0000 0.5000

No. 8
# Ba2PtBr, relaxed, DFT PBE-GGA
# **Crystal system**: orthorhombic
# **ΔE to the lowest computed polymorph**: 0.148 eV per atom
# **Total magnetic moment**: 0.00 Bohr magnetons per cell
data_Ba2PtBr
_space_group_name_H-M_alt 'I m m 2'
_space_group_IT_number 44
_cell_length_a 4.1358
_cell_length_b 4.3052
_cell_length_c 16.8582
_cell_angle_alpha 90.00
_cell_angle_beta 90.00
_cell_angle_gamma 90.00
loop_
_space_group_symop_operation_xyz
'x,y,z'
'-x,-y,z'
'-x,y,z'
'x,-y,z'
'x+1/2,y+1/2,z+1/2'
'-x+1/2,-y+1/2,z+1/2'
'-x+1/2,y+1/2,z+1/2'
'x+1/2,-y+1/2,z+1/2'
loop_
_atom_site_label
_atom_site_type_symbol
_atom_site_fract_x
_atom_site_fract_y
_atom_site_fract_z
Ba1 Ba 0.0000 0.0000 0.0000
Ba2 Ba 0.0000 0.5000 0.2173
Pt1 Pt 0.0000 0.0000 0.5799
Br1 Br 0.0000 0.5000 0.8254

What did the second record say?
# AgPd2Ru2, relaxed, DFT PBE-GGA
# **Crystal system**: tetragonal
# **Formation energy from the elements**: 0.44 eV/atom
# **Total magnetic moment**: 2.35 Bohr magnetons per cell
data_AgPd2Ru2
_space_group_name_H-M_alt 'P 4/m b m'
_space_group_IT_number 127
_space_group_name_Hall '-P 4 2ab'
_cell_length_a 7.7045
_cell_length_b 7.7045
_cell_length_c 2.7483
_cell_angle_alpha 90.00
_cell_angle_beta 90.00
_cell_angle_gamma 90.00
loop_
_atom_site_label
_atom_site_type_symbol
_atom_site_fract_x
_atom_site_fract_y
_atom_site_fract_z
Ag1 Ag 0.0000 0.0000 0.0000
Pd1 Pd 0.1849 0.3151 0.5000
Ru1 Ru 0.1102 0.6102 0.0000

Copy entry 3 word for word.
# CdMoSe2Br, relaxed, DFT PBE-GGA
# **Crystal system**: tetragonal
# **ΔE to the lowest computed polymorph**: 0.020 eV per atom
# **Total magnetic moment**: 0.83 Bohr magnetons per cell
data_CdMoSe2Br
_space_group_name_H-M_alt 'P 4/m m m'
_space_group_IT_number 123
_space_group_name_Hall '-P 4 2'
_cell_length_a 4.9237
_cell_length_b 4.9237
_cell_length_c 5.3719
_cell_angle_alpha 90.00
_cell_angle_beta 90.00
_cell_angle_gamma 90.00
loop_
_atom_site_label
_atom_site_type_symbol
_atom_site_fract_x
_atom_site_fract_y
_atom_site_fract_z
Cd1 Cd 0.0000 0.0000 0.0000
Mo1 Mo 0.5000 0.5000 0.5000
Se1 Se 0.0000 0.5000 0.5000
Br1 Br 0.5000 0.5000 0.0000

- What is the total magnetic moment in the fifth record?
  0.00 Bohr magnetons per cell

What did the third record say?
# CdMoSe2Br, relaxed, DFT PBE-GGA
# **Crystal system**: tetragonal
# **ΔE to the lowest computed polymorph**: 0.020 eV per atom
# **Total magnetic moment**: 0.83 Bohr magnetons per cell
data_CdMoSe2Br
_space_group_name_H-M_alt 'P 4/m m m'
_space_group_IT_number 123
_space_group_name_Hall '-P 4 2'
_cell_length_a 4.9237
_cell_length_b 4.9237
_cell_length_c 5.3719
_cell_angle_alpha 90.00
_cell_angle_beta 90.00
_cell_angle_gamma 90.00
loop_
_atom_site_label
_atom_site_type_symbol
_atom_site_fract_x
_atom_site_fract_y
_atom_site_fract_z
Cd1 Cd 0.0000 0.0000 0.0000
Mo1 Mo 0.5000 0.5000 0.5000
Se1 Se 0.0000 0.5000 0.5000
Br1 Br 0.5000 0.5000 0.0000